# 1
# Zn2InAuS4, optimized geometry, DFT PBE
data_Zn2InAuS4
_space_group_name_H-M_alt 'F m m 2'
_space_group_IT_number 42
_space_group_name_Hall 'F 2 -2'
_cell_length_a 7.945
_cell_length_b 7.947
_cell_length_c 11.340
_cell_angle_alpha 90.00
_cell_angle_beta 90.00
_cell_angle_gamma 90.00
loop_
_atom_site_label
_atom_site_fract_x
_atom_site_fract_y
_atom_site_fract_z
Zn1 0.250 0.250 0.000
In1 0.000 0.000 0.250
Au1 0.000 0.000 0.751
S1 0.000 0.248 0.385
S2 0.249 0.000 0.115
# Crystal system   orthorhombic
# Volume   22.4 Å³ per atom
# Total DFT energy (no corrections)   -3.66 eV per atom

---

# 2
# CeErTh4, optimized geometry, DFT PBE
data_CeErTh4
_space_group_name_H-M_alt 'C 1 2/m 1'
_space_group_IT_number 12
_space_group_name_Hall '-C 2y'
_cell_length_a 6.088
_cell_length_b 10.623
_cell_length_c 6.096
_cell_angle_alpha 90.00
_cell_angle_beta 108.64
_cell_angle_gamma 90.00
loop_
_atom_site_label
_atom_site_fract_x
_atom_site_fract_y
_atom_site_fract_z
Ce1 0.000 0.000 0.000
Er1 0.000 0.500 0.500
Th1 0.000 0.166 0.500
Th2 0.000 0.334 0.000
# Energy above the most stable polymorph in this dataset   0.000 eV/atom
# Energy of formation   42 meV/atom
# Crystal system   monoclinic
# Volume   31.1 Å³ per atom

---

# 3
# Al6FeIr5, optimized geometry, DFT PBE
data_Al6FeIr5
_space_group_name_H-M_alt 'P 1 2/m 1'
_space_group_IT_number 10
_space_group_name_Hall '-P 2y'
_cell_length_a 4.233
_cell_length_b 5.976
_cell_length_c 6.697
_cell_angle_alpha 90.00
_cell_angle_beta 108.26
_cell_angle_gamma 90.00
loop_
_atom_site_label
_atom_site_fract_x
_atom_site_fract_y
_atom_site_fract_z
Al1 0.000 0.241 0.000
Al2 0.337 0.245 0.675
Fe1 0.500 0.000 0.000
Ir1 0.167 0.000 0.333
Ir2 0.168 0.500 0.336
Ir3 0.500 0.500 0.000
# Energy of formation   -880 meV/atom
# Crystal system   monoclinic
# Volume   13.4 Å³ per atom

---

# 4
# Er2AsI3, optimized geometry, DFT PBE
data_Er2AsI3
_space_group_name_H-M_alt 'C 1 2/m 1'
_space_group_IT_number 12
_space_group_name_Hall '-C 2y'
_cell_length_a 21.676
_cell_length_b 4.278
_cell_length_c 14.868
_cell_angle_alpha 90.00
_cell_angle_beta 132.77
_cell_angle_gamma 90.00
loop_
_atom_site_label
_atom_site_fract_x
_atom_site_fract_y
_atom_site_fract_z
Er1 0.086 0.000 0.478
Er2 0.134 0.500 0.818
As1 0.090 0.000 0.668
I1 0.043 0.500 0.278
I2 0.173 0.000 0.014
I3 0.223 0.500 0.620
# Crystal system   monoclinic
# Volume   42.2 Å³ per atom
# Total DFT energy (no corrections)   -4.34 eV per atom

---

# 5
# Ca2ScCr, optimized geometry, DFT PBE
data_Ca2ScCr
_space_group_name_H-M_alt 'R 3 m'
_space_group_IT_number 160
_space_group_name_Hall 'R 3 -2"'
_cell_length_a 3.5588
_cell_length_b 3.5588
_cell_length_c 31.9247
_cell_angle_alpha 90.00
_cell_angle_beta 90.00
_cell_angle_gamma 120.00
loop_
_atom_site_label
_atom_site_fract_x
_atom_site_fract_y
_atom_site_fract_z
Ca1 0.0000 0.0000 0.0000
Ca2 0.0000 0.0000 0.2288
Sc1 0.0000 0.0000 0.4679
Cr1 0.0000 0.0000 0.7407
# Energy above the most stable polymorph in this dataset   0.179 eV/atom
# Energy of formation   477 meV/atom
# Crystal system   trigonal
# Volume   29.2 Å³ per atom

---

# 6
# Sr4Ga2H, optimized geometry, DFT PBE
data_Sr4Ga2H
_space_group_name_H-M_alt 'C 1 2/m 1'
_space_group_IT_number 12
_space_group_name_Hall '-C 2y'
_cell_length_a 15.342
_cell_length_b 4.495
_cell_length_c 6.566
_cell_angle_alpha 90.00
_cell_angle_beta 98.94
_cell_angle_gamma 90.00
loop_
_atom_site_label
_atom_site_fract_x
_atom_site_fract_y
_atom_site_fract_z
Sr1 0.081 0.000 0.275
Sr2 0.152 0.500 0.829
Ga1 0.237 0.500 0.376
H1 0.000 0.500 0.000
# Energy above the most stable polymorph in this dataset   0.000 eV/atom
# Crystal system   monoclinic
# Volume   32.0 Å³ per atom